First-principles (PBE) data for a relaxed Dy5Cu4Rh crystal, as listed in the Alexandria database.

Structure (CIF):
```
data_Dy5Cu4Rh
_symmetry_space_group_name_H-M 'P 1'
_symmetry_Int_Tables_number 1
_cell_length_a 3.455
_cell_length_b 3.455
_cell_length_c 17.391
_cell_angle_alpha 90.00
_cell_angle_beta 90.00
_cell_angle_gamma 90.00
loop_
_symmetry_equiv_pos_as_xyz
'x,y,z'
loop_
_atom_site_label
_atom_site_fract_x
_atom_site_fract_y
_atom_site_fract_z
Dy1 0.500 0.500 0.097
Dy2 0.500 0.500 0.299
Dy3 0.500 0.500 0.500
Dy4 0.500 0.500 0.701
Dy5 0.500 0.500 0.903
Cu1 0.000 0.000 0.199
Cu2 0.000 0.000 0.400
Cu3 0.000 0.000 0.600
Cu4 0.000 0.000 0.801
Rh1 0.000 0.000 0.000
```

Properties
Its volume is 207.6 Å³/f.u. The spin magnetization is 0.00 μB per formula unit. For the calculated formation energy, the calculation gives -373.4 meV per atom. The space group is P4/mmm, No. 123.



First-principles (PBE) data for a relaxed Dy8CuRh2 crystal, as listed in the Alexandria database.

Structure (CIF):
```
data_Dy8CuRh2
_symmetry_space_group_name_H-M 'P 1'
_symmetry_Int_Tables_number 1
_cell_length_a 6.002
_cell_length_b 7.504
_cell_length_c 7.504
_cell_angle_alpha 112.51
_cell_angle_beta 99.75
_cell_angle_gamma 99.75
loop_
_symmetry_equiv_pos_as_xyz
'x,y,z'
loop_
_atom_site_label
_atom_site_fract_x
_atom_site_fract_y
_atom_site_fract_z
Rh1 0.485 0.691 0.318
Rh2 0.485 0.318 0.691
Cu1 0.163 0.003 0.003
Dy1 0.587 0.344 0.081
Dy2 0.587 0.081 0.344
Dy3 0.172 0.366 0.366
Dy4 0.987 0.219 0.780
Dy5 0.987 0.780 0.219
Dy6 0.801 0.641 0.641
Dy7 0.373 0.927 0.662
Dy8 0.373 0.662 0.927
```

Properties
Its volume is 297.4 Å³/f.u. The spin magnetization is 0.00 μB per formula unit. For the calculated formation energy, the calculation gives -284.6 meV per atom. The space group is Cm, No. 8.



First-principles (PBE) data for a relaxed Dy2Cu15Rh2 crystal, as listed in the Alexandria database.

Structure (CIF):
```
data_Dy2Cu15Rh2
_symmetry_space_group_name_H-M 'P 1'
_symmetry_Int_Tables_number 1
_cell_length_a 6.472
_cell_length_b 6.472
_cell_length_c 6.472
_cell_angle_alpha 83.38
_cell_angle_beta 83.38
_cell_angle_gamma 83.38
loop_
_symmetry_equiv_pos_as_xyz
'x,y,z'
loop_
_atom_site_label
_atom_site_fract_x
_atom_site_fract_y
_atom_site_fract_z
Dy1 0.333 0.333 0.333
Dy2 0.667 0.667 0.667
Cu1 0.500 0.000 0.000
Cu2 0.000 0.000 0.500
Cu3 0.000 0.500 0.000
Cu4 0.000 0.706 0.294
Cu5 0.706 0.294 0.000
Cu6 0.294 0.000 0.706
Cu7 0.294 0.706 0.000
Cu8 0.706 0.000 0.294
Cu9 0.000 0.294 0.706
Cu10 0.154 0.648 0.648
Cu11 0.648 0.648 0.154
Cu12 0.648 0.154 0.648
Cu13 0.846 0.352 0.352
Cu14 0.352 0.352 0.846
Cu15 0.352 0.846 0.352
Rh1 0.105 0.105 0.105
Rh2 0.895 0.895 0.895
```

Properties
Its volume is 266.0 Å³/f.u. The spin magnetization is 0.00 μB per formula unit. For the calculated formation energy, the calculation gives -157.9 meV per atom. The space group is R-3m, No. 166.



First-principles (PBE) data for a relaxed Dy4CuRh3 crystal, as listed in the Alexandria database.

Structure (CIF):
```
data_Dy4CuRh3
_symmetry_space_group_name_H-M 'P 1'
_symmetry_Int_Tables_number 1
_cell_length_a 4.825
_cell_length_b 6.991
_cell_length_c 9.650
_cell_angle_alpha 90.00
_cell_angle_beta 90.00
_cell_angle_gamma 90.00
loop_
_symmetry_equiv_pos_as_xyz
'x,y,z'
loop_
_atom_site_label
_atom_site_fract_x
_atom_site_fract_y
_atom_site_fract_z
Rh1 0.000 0.000 0.000
Rh2 0.000 0.000 0.500
Rh3 0.500 0.000 0.750
Rh4 0.500 0.000 0.250
Rh5 0.500 0.500 0.750
Rh6 0.500 0.500 0.250
Cu1 0.000 0.500 0.000
Cu2 0.000 0.500 0.500
Dy1 0.500 0.753 0.000
Dy2 0.500 0.753 0.500
Dy3 0.500 0.247 0.000
Dy4 0.500 0.247 0.500
Dy5 0.000 0.753 0.750
Dy6 0.000 0.753 0.250
Dy7 0.000 0.247 0.250
Dy8 0.000 0.247 0.750
```

Properties
Its volume is 162.8 Å³/f.u. The spin magnetization is 0.00 μB per formula unit. For the calculated formation energy, the calculation gives -717.7 meV per atom. The space group is P4/mmm, No. 123.



First-principles (PBE) data for a relaxed Dy2Cu2Rh crystal, as listed in the Alexandria database.

Structure (CIF):
```
data_Dy2Cu2Rh
_symmetry_space_group_name_H-M 'P 1'
_symmetry_Int_Tables_number 1
_cell_length_a 7.050
_cell_length_b 7.050
_cell_length_c 7.758
_cell_angle_alpha 90.00
_cell_angle_beta 90.00
_cell_angle_gamma 90.00
loop_
_symmetry_equiv_pos_as_xyz
'x,y,z'
loop_
_atom_site_label
_atom_site_fract_x
_atom_site_fract_y
_atom_site_fract_z
Dy1 0.689 0.820 0.500
Dy2 0.311 0.180 0.500
Dy3 0.811 0.320 0.000
Dy4 0.189 0.680 0.000
Dy5 0.820 0.311 0.500
Dy6 0.180 0.689 0.500
Dy7 0.320 0.189 0.000
Dy8 0.680 0.811 0.000
Cu1 0.379 0.879 0.250
Cu2 0.621 0.121 0.250
Cu3 0.121 0.379 0.750
Cu4 0.879 0.621 0.750
Cu5 0.879 0.621 0.250
Cu6 0.121 0.379 0.250
Cu7 0.379 0.879 0.750
Cu8 0.621 0.121 0.750
Rh1 0.500 0.500 0.218
Rh2 0.000 0.000 0.718
Rh3 0.500 0.500 0.782
Rh4 0.000 0.000 0.282
```

Properties
Its volume is 96.4 Å³/f.u. The spin magnetization is 0.00 μB per formula unit. For the calculated formation energy, the calculation gives -358.4 meV per atom. The space group is P4/mnc, No. 128.



First-principles (PBE) data for a relaxed Dy5CuRh4 crystal, as listed in the Alexandria database.

Structure (CIF):
```
data_Dy5CuRh4
_symmetry_space_group_name_H-M 'P 1'
_symmetry_Int_Tables_number 1
_cell_length_a 3.427
_cell_length_b 3.427
_cell_length_c 17.330
_cell_angle_alpha 90.00
_cell_angle_beta 90.00
_cell_angle_gamma 90.00
loop_
_symmetry_equiv_pos_as_xyz
'x,y,z'
loop_
_atom_site_label
_atom_site_fract_x
_atom_site_fract_y
_atom_site_fract_z
Dy1 0.500 0.500 0.104
Dy2 0.500 0.500 0.301
Dy3 0.500 0.500 0.500
Dy4 0.500 0.500 0.699
Dy5 0.500 0.500 0.896
Cu1 0.000 0.000 0.000
Rh1 0.000 0.000 0.201
Rh2 0.000 0.000 0.401
Rh3 0.000 0.000 0.599
Rh4 0.000 0.000 0.799
```

Properties
Its volume is 203.5 Å³/f.u. The spin magnetization is 0.00 μB per formula unit. For the calculated formation energy, the calculation gives -749.9 meV per atom. The space group is P4/mmm, No. 123.



First-principles (PBE) data for a relaxed Dy3Cu2Rh crystal, as listed in the Alexandria database.

Structure (CIF):
```
data_Dy3Cu2Rh
_symmetry_space_group_name_H-M 'P 1'
_symmetry_Int_Tables_number 1
_cell_length_a 4.177
_cell_length_b 11.186
_cell_length_c 11.471
_cell_angle_alpha 90.00
_cell_angle_beta 90.00
_cell_angle_gamma 90.00
loop_
_symmetry_equiv_pos_as_xyz
'x,y,z'
loop_
_atom_site_label
_atom_site_fract_x
_atom_site_fract_y
_atom_site_fract_z
Dy1 0.250 0.375 0.049
Dy2 0.750 0.625 0.951
Dy3 0.750 0.875 0.451
Dy4 0.250 0.125 0.549
Dy5 0.250 0.704 0.227
Dy6 0.750 0.296 0.773
Dy7 0.750 0.204 0.273
Dy8 0.250 0.796 0.727
Dy9 0.250 0.444 0.382
Dy10 0.750 0.556 0.618
Dy11 0.750 0.944 0.118
Dy12 0.250 0.056 0.882
Cu1 0.250 0.694 0.493
Cu2 0.750 0.306 0.507
Cu3 0.750 0.194 0.007
Cu4 0.250 0.806 0.993
Cu5 0.250 0.995 0.309
Cu6 0.750 0.005 0.691
Cu7 0.750 0.495 0.191
Cu8 0.250 0.505 0.809
Rh1 0.250 0.129 0.124
Rh2 0.750 0.871 0.876
Rh3 0.750 0.629 0.376
Rh4 0.250 0.371 0.624
```

Properties
As for the energy relative to the lowest polymorph listed for this composition: 46 meV per atom. Its volume is 134.0 Å³/f.u. The spin magnetization is 0.00 μB per formula unit. For the calculated formation energy, the calculation gives -408.9 meV per atom. The space group is Pnma, No. 62.



First-principles (PBE) data for a relaxed Dy3CuRh crystal, as listed in the Alexandria database.

Structure (CIF):
```
data_Dy3CuRh
_symmetry_space_group_name_H-M 'P 1'
_symmetry_Int_Tables_number 1
_cell_length_a 5.784
_cell_length_b 6.209
_cell_length_c 8.335
_cell_angle_alpha 111.22
_cell_angle_beta 83.98
_cell_angle_gamma 122.37
loop_
_symmetry_equiv_pos_as_xyz
'x,y,z'
loop_
_atom_site_label
_atom_site_fract_x
_atom_site_fract_y
_atom_site_fract_z
Dy1 0.518 0.823 0.130
Dy2 0.087 0.393 0.692
Dy3 0.794 0.763 0.723
Dy4 0.206 0.237 0.277
Dy5 0.482 0.177 0.870
Dy6 0.913 0.607 0.308
Cu1 0.505 0.196 0.502
Cu2 0.495 0.804 0.498
Rh1 0.000 0.741 0.000
Rh2 0.000 0.259 0.000
```

Properties
Its volume is 117.1 Å³/f.u. The spin magnetization is 0.00 μB per formula unit. For the calculated formation energy, the calculation gives -431.8 meV per atom. The space group is P-1, No. 2.